VASP calculation (PBE+U) on crystalline CaNi2P2O10 at its relaxed geometry.

Cell lengths 9.890, 8.319, 7.318 Å; angles 78.17, 55.42, 46.40 degrees
Site moments in Bohr magnetons follow the coordinates.
Fractional positions:
O1 0.793 0.420 0.735  -0.03
O2 0.556 0.414 0.140  -0.03
O3 0.830 0.457 0.199  -0.03
O4 0.694 0.836 0.110  -0.03
Ni1 0.125 0.125 0.625  1.74
O5 0.199 0.515 0.830  -0.03
P1 0.956 0.956 0.544  0.01
O6 0.836 0.694 0.360  -0.03
O7 0.735 0.051 0.793  -0.03
O8 0.957 0.957 0.043  0.31
Ni2 0.125 0.625 0.125  1.74
Ca1 0.500 0.500 0.500  0.00
O9 0.051 0.735 0.420  -0.03
O10 0.457 0.830 0.515  -0.03
O11 0.360 0.110 0.836  -0.03
Ni3 0.125 0.125 0.125  1.74
O12 0.420 0.793 0.051  -0.03
P2 0.294 0.294 0.706  0.01
P3 0.544 0.544 0.956  0.01
O13 0.890 0.140 0.414  -0.03
O14 0.515 0.199 0.457  -0.03
Ni4 0.625 0.125 0.125  1.74
O15 0.110 0.360 0.694  -0.03
P4 0.706 0.706 0.294  0.01
O16 0.207 0.207 0.293  0.31
O17 0.414 0.556 0.890  -0.03
O18 0.293 0.293 0.207  0.31
O19 0.140 0.890 0.556  -0.03
Ca2 0.750 0.750 0.750  0.00
O20 0.043 0.043 0.957  0.31

Calculated values
- Space-group type: Fddd, No. 70
- Crystal system: orthorhombic
- DFT total energy: -188.462 eV per cell